1.
An optimized crystal structure of K4Ce3ErTe8, computed with PBE.

Unit cell a=9.2284 b=9.2284 c=24.6588 alpha=90.00 beta=90.00 gamma=120.00
Space group R-3m (No. 166, hexagonal axes)
Inequivalent atoms, fractional coordinates:
1 K 0.0000 0.0000 0.0000 [3 per cell]
2 K 0.0000 0.5000 0.0000 [9 per cell]
3 Ce 0.0000 0.5000 0.5000 [9 per cell]
4 Er 0.0000 0.0000 0.5000 [3 per cell]
5 Te 0.0000 0.0000 0.2385 [6 per cell]
6 Te 0.0094 0.5047 0.2370 [18 per cell]

Properties
For the raw formation energy, the calculation gives -1.351 eV per atom.


2.
An optimized crystal structure of LaCe2Er, computed with PBE.

Unit cell a=3.4954 b=3.4954 c=34.9938 alpha=90.00 beta=90.00 gamma=120.00
Space group R3m (No. 160, hexagonal axes)
Inequivalent atoms, fractional coordinates:
1 La 0.0000 0.0000 0.0000 [3 per cell]
2 Ce 0.0000 0.0000 0.2458 [3 per cell]
3 Ce 0.0000 0.0000 0.4164 [3 per cell]
4 Er 0.0000 0.0000 0.8303 [3 per cell]

Properties
As for the energy above the most stable polymorph in this dataset: 10.7 meV/atom.


3.
An optimized crystal structure of La3CeEr, computed with PBE.

Unit cell a=7.656 b=13.269 c=6.618 alpha=90.00 beta=90.00 gamma=90.00
Space group Cmcm (No. 63)
Inequivalent atoms, fractional coordinates:
1 La 0.000 0.189 0.250 [4 per cell]
2 La 0.216 0.405 0.250 [8 per cell]
3 Ce 0.000 0.000 0.000 [4 per cell]
4 Er 0.000 0.334 0.750 [4 per cell]

Properties
The calculation puts the uncorrected energy at -4.817 eV per atom.


4.
An optimized crystal structure of La12CeEr3, computed with PBE.

Unit cell a=5.197 b=5.197 c=20.772 alpha=90.00 beta=90.00 gamma=90.00
Space group P4/mmm (No. 123)
Inequivalent atoms, fractional coordinates:
1 La 0.000 0.000 0.000 [1 per cell]
2 La 0.000 0.000 0.249 [2 per cell]
3 La 0.000 0.000 0.500 [1 per cell]
4 La 0.000 0.500 0.125 [4 per cell]
5 La 0.000 0.500 0.377 [4 per cell]
6 Ce 0.500 0.500 0.500 [1 per cell]
7 Er 0.500 0.500 0.000 [1 per cell]
8 Er 0.500 0.500 0.250 [2 per cell]

Properties
The calculation puts the uncorrected energy at -4.898 eV per atom.


Repeat the first record exactly.
An optimized crystal structure of K4Ce3ErTe8, computed with PBE.

Unit cell a=9.2284 b=9.2284 c=24.6588 alpha=90.00 beta=90.00 gamma=120.00
Space group R-3m (No. 166, hexagonal axes)
Inequivalent atoms, fractional coordinates:
1 K 0.0000 0.0000 0.0000 [3 per cell]
2 K 0.0000 0.5000 0.0000 [9 per cell]
3 Ce 0.0000 0.5000 0.5000 [9 per cell]
4 Er 0.0000 0.0000 0.5000 [3 per cell]
5 Te 0.0000 0.0000 0.2385 [6 per cell]
6 Te 0.0094 0.5047 0.2370 [18 per cell]

Properties
For the raw formation energy, the calculation gives -1.351 eV per atom.


What is the formula in the third record? La3CeEr